{
  "formula": "MgPd3Pb",
  "functional": "PBE-GGA",
  "state": "optimized geometry",
  "polymorph_energy_mev_per_atom": 768,
  "delta_e_f_ev_per_atom": 0.47,
  "dos_at_fermi_per_ev_atom": 0.336,
  "dft_energy_ev_per_cell": -18.53,
  "magnetic_moment_mub_per_cell": 0.000,
  "mass_density_kg_m3": 7149,
  "spacegroup": "Pm-3m",
  "cell": [[5.039, 0.000, 0.000], [0.000, 5.039, 0.000], [0.000, 0.000, 5.039]],
  "species": ["Mg", "Pd", "Pd", "Pd", "Pb"],
  "frac_coords": [[0.000, 0.000, 0.000], [0.000, 0.500, 0.500], [0.500, 0.000, 0.500], [0.500, 0.500, 0.000], [0.500, 0.500, 0.500]]
}